Entry 1:
First-principles (PBE) data for a relaxed MgOsO3 crystal, as listed in the Alexandria database.

Summary:
ΔE_f (raw) ... -4.8 eV per formula unit
Fermi-level density of states ... 2.69 states/eV/cell
Uncorrected energy ... -6.4951 eV per atom

a b c (Å): 3.886 3.886 3.886
angles (deg): 90.00 90.00 90.00
Space group Pm-3m (No. 221)
Symmetry-distinct sites (fractional):
Mg1 0.000 0.000 0.000 [1 per cell]
Os1 0.500 0.500 0.500 [1 per cell]
O1 0.000 0.500 0.500 [3 per cell]

---

Entry 2:
First-principles (PBE) data for a relaxed TcNiP crystal, as listed in the Alexandria database.

Summary:
Fermi-level density of states ... 3.04 states/eV/cell
Uncorrected energy ... -7.4741 eV per atom
Offset from the most stable computed form ... 214 meV/atom

a b c (Å): 4.425 2.931 6.325
angles (deg): 90.00 108.59 90.00
Space group Pm (No. 6)
Symmetry-distinct sites (fractional):
Tc1 0.000 0.000 0.000 [1 per cell]
Tc2 0.464 0.000 0.441 [1 per cell]
Ni1 0.371 0.500 0.782 [1 per cell]
Ni2 0.941 0.500 0.354 [1 per cell]
P1 0.455 0.500 0.136 [1 per cell]
P2 0.846 0.500 0.680 [1 per cell]